[1]
Ni2AgAu | meta-GGA SCAN | single point on PBEsol structure

Its energy is -33.0295 eV/atom. The calculation puts the formation enthalpy at 0 K at 188 meV/atom.

Lattice parameters (Å, degrees): 2.725 3.628 5.473 90.00 90.00 90.00
Fractional positions:
Au: 0.500 0.500 0.500
Ni: 0.000 0.000 0.253
Ni: 0.000 0.000 0.747
Ag: 0.500 0.500 0.000

[2]
CsGe2Au2 | meta-GGA SCAN | single point on PBEsol structure

Its energy is -43.1040 eV/atom. The calculation puts the formation enthalpy at 0 K at -244 meV/atom.

Lattice parameters (Å, degrees): 4.728 4.728 7.114 109.41 109.41 90.00
Fractional positions:
Au: 0.329 0.329 0.658
Au: 0.671 0.671 0.342
Ge: 0.750 0.250 0.500
Ge: 0.250 0.750 0.500
Cs: 0.000 0.000 0.000

[3]
Tc2AgOsPd | meta-GGA SCAN | single point on PBEsol structure

Its energy is -38.7543 eV/atom. The calculation puts the formation enthalpy at 0 K at 2474 meV/atom.

Lattice parameters (Å, degrees): 4.533 4.533 4.645 90.00 90.00 90.00
Fractional positions:
Tc: 0.000 0.500 0.000
Tc: 0.500 0.000 0.000
Pd: 0.000 0.000 0.000
Ag: 0.000 0.000 0.500
Os: 0.500 0.500 0.500

[4]
MnCuSi2 | meta-GGA SCAN | single point on PBEsol structure

Its energy is -13.2309 eV/atom. The uncorrected formation energy comes out at 0.141 eV per atom.

Lattice parameters (Å, degrees): 2.707 2.707 7.891 80.12 80.12 60.00
Fractional positions:
Si: 0.997 0.997 0.009
Si: 0.751 0.751 0.746
Mn: 0.253 0.253 0.240
Cu: 0.498 0.498 0.505